This record from OQMD describes crystalline InAg2Pt at its relaxed geometry. The functional is PBE.

Summary:
E (eV per atom): -3.78
Total moment (μB/atom): 0.00

Lattice parameters (Å, degrees): 6.566 6.566 6.566 90.00 90.00 90.00
Space group F-43m (No. 216)
Asymmetric unit:
In 0.000 0.000 0.000 x4
Ag 0.000 0.000 0.500 x4
Ag 0.250 0.250 0.750 x4
Pt 0.250 0.250 0.250 x4